Record 1
VASP calculation (PBE) on a relaxed structure of BaGaSi2Se8.

Lattice parameters (Å, degrees): 6.0622 6.0622 9.7170 90.00 90.00 120.00
Space group P-3 (No. 147)
One atom of each set of equivalent atoms:
Ba  0.0000  0.0000  0.0000
Ga  0.0000  0.0000  0.5000
Si  0.3333  0.6667  0.7471
Se  0.0393  0.6983  0.3214
Se  0.3333  0.6667  0.9799

The raw total energy is -4.14 eV per atom. As for the formation energy from raw total energies: -0.5044 eV per atom. The calculation puts the total magnetic moment at 0.00 Bohr magnetons per cell. Its volume is 25.77 Å³ per atom. Its density is 4.8 g/cm3.


Record 2
VASP calculation (PBE) on a relaxed structure of Ba2GaSnSe5.

Lattice parameters (Å, degrees): 4.280 19.483 13.048 90.00 90.00 90.00
Space group Cmc2_1 (No. 36)
One atom of each set of equivalent atoms:
Ba  0.000  0.114  0.000
Ba  0.000  0.124  0.627
Ga  0.000  0.435  0.756
Sn  0.000  0.215  0.342
Se  0.000  0.049  0.360
Se  0.000  0.284  0.986
Se  0.000  0.314  0.693
Se  0.000  0.352  0.316
Se  0.000  0.498  0.598

The raw total energy is -4.34 eV per atom. As for the formation energy from raw total energies: -1.1924 eV per atom. The calculation puts the total magnetic moment at 0.00 Bohr magnetons per cell. Its volume is 30.22 Å³ per atom. Its density is 5.2 g/cm3.